No. 1
A plane-wave DFT calculation with GGA-PBE was carried out for an optimized crystal structure of Cr3HI.

* symmetry: Pm-3m (221)
* DOS at the Fermi energy: 0.46 states/eV/atom
* volume: 12.050 Å³/atom

Lattice parameters (Å, degrees): 3.9203 3.9203 3.9203 90.00 90.00 90.00
Fractional coordinates of all 5 atoms:
Cr 0.0000 0.0000 0.5000
Cr 0.0000 0.5000 0.0000
Cr 0.5000 0.0000 0.0000
H 0.0000 0.0000 0.0000
I 0.5000 0.5000 0.5000

---

No. 2
A plane-wave DFT calculation with GGA-PBE was carried out for an optimized crystal structure of CrH2I3.

* symmetry: P-1 (2)
* volume: 34.260 Å³/atom

Lattice parameters (Å, degrees): 7.2399 7.8014 8.2355 117.01 95.47 91.71
Fractional coordinates of all 12 atoms:
Cr 0.0116 0.2455 0.4912
Cr 0.9884 0.7545 0.5088
H 0.1684 0.7061 0.4020
H 0.4969 0.2698 0.3191
H 0.5031 0.7302 0.6809
H 0.8316 0.2939 0.5980
I 0.1434 0.1170 0.7315
I 0.1645 0.6073 0.7188
I 0.3215 0.1026 0.2607
I 0.6785 0.8974 0.7393
I 0.8355 0.3927 0.2812
I 0.8566 0.8830 0.2685

---

No. 3
A plane-wave DFT calculation with GGA-PBE was carried out for an optimized crystal structure of LiCr2HI.

* symmetry: P4/mmm (123)
* DOS at the Fermi energy: 0.59 states/eV/atom
* volume: 19.219 Å³/atom

Lattice parameters (Å, degrees): 5.2004 5.2004 3.5532 90.00 90.00 90.00
Fractional coordinates of all 5 atoms:
Li 0.0000 0.0000 0.0000
Cr 0.0000 0.5000 0.0000
Cr 0.5000 0.0000 0.0000
H 0.0000 0.0000 0.5000
I 0.5000 0.5000 0.5000

---

No. 4
A plane-wave DFT calculation with GGA-PBE was carried out for an optimized crystal structure of CrH18I7N6.

* symmetry: C2/m (12)
* DOS at the Fermi energy: 0.00 states/eV/atom
* volume: 17.025 Å³/atom

Lattice parameters (Å, degrees): 9.0222 9.0222 10.0460 119.54 119.54 52.96
Fractional coordinates of all 32 atoms:
Cr 0.0000 0.0000 0.0000
H 0.0633 0.2666 0.0187
H 0.0917 0.7888 0.7187
H 0.1684 0.6407 0.8151
H 0.1976 0.1976 0.1829
H 0.2112 0.9083 0.2813
H 0.2517 0.7084 0.1321
H 0.2666 0.0633 0.0187
H 0.2916 0.7483 0.8679
H 0.3593 0.8316 0.1849
H 0.6407 0.1684 0.8151
H 0.7084 0.2517 0.1321
H 0.7334 0.9367 0.9813
H 0.7483 0.2916 0.8679
H 0.7888 0.0917 0.7187
H 0.8024 0.8024 0.8171
H 0.8316 0.3593 0.1849
H 0.9083 0.2112 0.2813
H 0.9367 0.7334 0.9813
I 0.1018 0.1018 0.6294
I 0.3155 0.3155 0.4934
I 0.3335 0.3335 0.9500
I 0.5000 0.5000 0.5000
I 0.6665 0.6665 0.0500
I 0.6845 0.6845 0.5066
I 0.8982 0.8982 0.3706
N 0.1469 0.1469 0.0600
N 0.1516 0.7716 0.8308
N 0.2284 0.8484 0.1692
N 0.7716 0.1516 0.8308
N 0.8484 0.2284 0.1692
N 0.8531 0.8531 0.9400

---

no.,raw total energy (eV for the cell shown)
1,-30.096
2,-42.731
3,-21.470
4,-144.349